# 1
KY2Be | meta-GGA SCAN | PBEsol geometry

Results
total moment = 0.0740 μB/atom
density = 3.069 Mg/m³
DFT total energy = -0.6184 hartree per atom
energy relative to the elements = 0.264 eV/atom

abc: 3.4459 3.4447 10.2989
angles: 90.00 90.07 90.00
Space group P2/m (No. 10)
One atom of each set of equivalent atoms:
K 0.0000 0.0000 0.0000 x1
Y 0.4998 0.5000 0.3469 x2
Be 0.0000 0.0000 0.5000 x1


# 2
KZr2Be | meta-GGA SCAN | PBEsol geometry

Results
total moment = 0.0632 μB/atom
density = 4.030 Mg/m³
DFT total energy = -0.6580 hartree per atom
energy relative to the elements = 0.614 eV/atom

abc: 3.2254 3.2254 31.6376
angles: 90.00 90.00 120.00
Space group R3m (No. 160, hexagonal axes)
One atom of each set of equivalent atoms:
K 0.0000 0.0000 0.0000 x3
Zr 0.0000 0.0000 0.2250 x3
Zr 0.0000 0.0000 0.4818 x3
Be 0.0000 0.0000 0.7529 x3


# 3
K2ZrBe | meta-GGA SCAN | PBEsol geometry

Results
total moment = 0.4950 μB/atom
density = 2.799 Mg/m³
DFT total energy = -0.4363 hartree per atom
energy relative to the elements = 1.054 eV/atom

abc: 4.1672 4.1672 12.1908
angles: 90.00 90.00 90.00
Space group I4/mmm (No. 139)
One atom of each set of equivalent atoms:
K 0.0000 0.5000 0.2500 x4
Zr 0.0000 0.0000 0.0000 x2
Be 0.0000 0.0000 0.5000 x2